This record from the Alexandria database describes a relaxed structure of MnZnSe3. The functional is PBE-GGA.

The structure in CIF format:
```
data_MnZnSe3
_cell_length_a 4.8569
_cell_length_b 4.8569
_cell_length_c 4.8569
_cell_angle_alpha 90.00
_cell_angle_beta 90.00
_cell_angle_gamma 90.00
_symmetry_space_group_name_H-M 'P m -3 m'
_symmetry_Int_Tables_number 221
_symmetry_space_group_name_Hall '-P 4 2 3'
loop_
_atom_site_label
_atom_site_type_symbol
_atom_site_fract_x
_atom_site_fract_y
_atom_site_fract_z
_atom_site_occupancy
Mn1 Mn 0.0000 0.0000 0.0000 1
Zn1 Zn 0.5000 0.5000 0.5000 1
Se1 Se 0.0000 0.5000 0.5000 1
```

Formation energy (no corrections): 102 kJ per mole of atoms
Spin magnetization: 0.366 μB/cell
ΔE to the lowest computed polymorph: 696 meV/atom
DOS at the Fermi energy: 10.2 states/eV/f.u.
Electronic total energy: -15.61 eV for the cell shown

---

This record from the Alexandria database describes a relaxed structure of Na2Tl. The functional is PBE-GGA.

The structure in CIF format:
```
data_Na2Tl
_cell_length_a 4.0808
_cell_length_b 4.0808
_cell_length_c 10.7804
_cell_angle_alpha 90.00
_cell_angle_beta 90.00
_cell_angle_gamma 90.00
_symmetry_space_group_name_H-M 'I 4/m m m'
_symmetry_Int_Tables_number 139
_symmetry_space_group_name_Hall '-I 4 2'
loop_
_atom_site_label
_atom_site_type_symbol
_atom_site_fract_x
_atom_site_fract_y
_atom_site_fract_z
_atom_site_occupancy
Na1 Na 0.0000 0.0000 0.1591 1
Tl1 Tl 0.0000 0.0000 0.5000 1
```

Spin magnetization: 0.000 μB/cell
ΔE to the lowest computed polymorph: 25 meV/atom
DOS at the Fermi energy: 2.1 states/eV/f.u.
Electronic total energy: -10.46 eV for the cell shown

---

This record from the Alexandria database describes a relaxed structure of RuRhS3. The functional is PBE-GGA.

The structure in CIF format:
```
data_RuRhS3
_cell_length_a 4.5558
_cell_length_b 4.5558
_cell_length_c 4.5558
_cell_angle_alpha 90.00
_cell_angle_beta 90.00
_cell_angle_gamma 90.00
_symmetry_space_group_name_H-M 'P m -3 m'
_symmetry_Int_Tables_number 221
_symmetry_space_group_name_Hall '-P 4 2 3'
loop_
_atom_site_label
_atom_site_type_symbol
_atom_site_fract_x
_atom_site_fract_y
_atom_site_fract_z
_atom_site_occupancy
Ru1 Ru 0.0000 0.0000 0.0000 1
Rh1 Rh 0.5000 0.5000 0.5000 1
S1 S 0.0000 0.0000 0.5000 1
```

Formation energy (no corrections): 82 kJ per mole of atoms
Spin magnetization: 1.764 μB/cell
ΔE to the lowest computed polymorph: 0 meV/atom
DOS at the Fermi energy: 7.2 states/eV/f.u.
Electronic total energy: -24.78 eV for the cell shown

---

This record from the Alexandria database describes a relaxed structure of TeH2PtSe. The functional is PBE-GGA.

The structure in CIF format:
```
data_TeH2PtSe
_cell_length_a 3.8351
_cell_length_b 3.8351
_cell_length_c 5.4620
_cell_angle_alpha 90.00
_cell_angle_beta 90.00
_cell_angle_gamma 90.00
_symmetry_space_group_name_H-M 'P 4/m m m'
_symmetry_Int_Tables_number 123
_symmetry_space_group_name_Hall '-P 4 2'
loop_
_atom_site_label
_atom_site_type_symbol
_atom_site_fract_x
_atom_site_fract_y
_atom_site_fract_z
_atom_site_occupancy
Te1 Te 0.0000 0.0000 0.0000 1
H1 H 0.0000 0.5000 0.5000 1
Pt1 Pt 0.0000 0.0000 0.5000 1
Se1 Se 0.5000 0.5000 0.0000 1
```

Spin magnetization: 0.000 μB/cell
DOS at the Fermi energy: 2.2 states/eV/f.u.
Electronic total energy: -18.33 eV for the cell shown